# V2AgSbO | Alexandria via LeMat-Bulk | PBE+U | relaxed
# Final energy in eV per atom: -5.48
data_V2AgSbO
_symmetry_space_group_name_H-M 'P 4/m m m'
_symmetry_Int_Tables_number 123
_symmetry_space_group_name_Hall '-P 4 2'
_cell_length_a 4.232
_cell_length_b 4.232
_cell_length_c 4.884
_cell_angle_alpha 90.00
_cell_angle_beta 90.00
_cell_angle_gamma 90.00
loop_
_atom_site_label
_atom_site_type_symbol
_atom_site_fract_x
_atom_site_fract_y
_atom_site_fract_z
V1 V 0.000 0.500 0.000
Ag1 Ag 0.000 0.000 0.500
Sb1 Sb 0.500 0.500 0.500
O1 O 0.000 0.000 0.000